SrBe2Te | GGA-PBEsol | optimized geometry Values from VASP.

Values from the calculation:
**Magnetization**: 0.00 Bohr magnetons per cell
**Raw formation energy**: 1.62 eV/f.u.

```
&SYSTEM
  ibrav = 0, nat = 4, ntyp = 3
/
ATOMIC_SPECIES
Sr 87.62 Sr.upf
Te 127.60 Te.upf
Be 9.01 Be.upf
CELL_PARAMETERS angstrom
3.700 0.000 0.000
1.850 5.228 0.250
1.850 2.026 4.826
ATOMIC_POSITIONS angstrom
Sr 1.850 0.000 0.000
Te 1.850 3.627 2.538
Be 3.700 5.131 3.590
Be 3.700 2.123 1.485
```